Compound: HfCd2Pb
Source: Alexandria via LeMat-Bulk
Functional: PBE-GGA
Structure: optimized geometry

Cell lengths 3.160, 3.160, 9.739 Å; angles 90.00, 90.00, 90.00 degrees
Sites, in units of the cell vectors:
Cd 0.000 0.000 0.222
Cd 0.000 0.000 0.778
Hf 0.500 0.500 0.000
Pb 0.500 0.500 0.500

Computed properties:
Calculated formation energy ... 63 meV per atom
Uncorrected energy ... -15.2 eV per cell


Compound: Li11Ag4Pd9
Source: Alexandria via LeMat-Bulk
Functional: PBE-GGA
Structure: optimized geometry

Cell lengths 2.893, 11.218, 11.218 Å; angles 107.44, 90.00, 90.00 degrees
Sites, in units of the cell vectors:
Pd 0.500 0.990 0.796
Pd 0.500 0.157 0.616
Pd 0.500 0.843 0.384
Pd 0.500 0.384 0.843
Pd 0.500 0.500 0.500
Pd 0.500 0.796 0.990
Pd 0.500 0.010 0.204
Pd 0.500 0.204 0.010
Pd 0.500 0.616 0.157
Li 0.000 0.000 0.000
Li 0.000 0.407 0.044
Li 0.000 0.044 0.407
Li 0.000 0.187 0.813
Li 0.000 0.198 0.198
Li 0.000 0.813 0.187
Li 0.000 0.802 0.802
Li 0.000 0.593 0.956
Li 0.000 0.956 0.593
Li 0.000 0.368 0.632
Li 0.000 0.632 0.368
Ag 0.500 0.592 0.754
Ag 0.500 0.246 0.408
Ag 0.500 0.408 0.246
Ag 0.500 0.754 0.592

Computed properties:
Calculated formation energy ... -330 meV per atom
Uncorrected energy ... -87.1 eV per cell


Compound: SrEr5Hg6
Source: Alexandria via LeMat-Bulk
Functional: PBE-GGA
Structure: optimized geometry

Cell lengths 5.275, 7.460, 8.368 Å; angles 90.00, 108.20, 90.00 degrees
Sites, in units of the cell vectors:
Sr 0.000 0.000 0.000
Hg 0.500 0.735 0.000
Hg 0.828 0.261 0.656
Hg 0.500 0.265 0.000
Hg 0.172 0.739 0.344
Hg 0.828 0.739 0.656
Hg 0.172 0.261 0.344
Er 0.337 0.500 0.674
Er 0.668 0.000 0.337
Er 0.332 0.000 0.663
Er 0.663 0.500 0.326
Er 0.000 0.500 0.000

Computed properties:
Calculated formation energy ... -469 meV per atom
Uncorrected energy ... -31.9 eV per cell


Compound: Ac4PrGa4
Source: Alexandria via LeMat-Bulk
Functional: PBE-GGA
Structure: optimized geometry

Cell lengths 6.629, 9.576, 9.576 Å; angles 90.00, 90.00, 90.00 degrees
Sites, in units of the cell vectors:
Pr 0.000 0.000 0.000
Pr 0.500 0.500 0.500
Ac 0.132 0.197 0.582
Ac 0.868 0.582 0.803
Ac 0.368 0.303 0.918
Ac 0.132 0.803 0.418
Ac 0.868 0.418 0.197
Ac 0.368 0.697 0.082
Ac 0.632 0.918 0.697
Ac 0.632 0.082 0.303
Ga 0.347 0.370 0.243
Ga 0.847 0.743 0.130
Ga 0.153 0.870 0.743
Ga 0.847 0.257 0.870
Ga 0.653 0.757 0.370
Ga 0.347 0.630 0.757
Ga 0.653 0.243 0.630
Ga 0.153 0.130 0.257

Computed properties:
Calculated formation energy ... -333 meV per atom
Uncorrected energy ... -72.6 eV per cell


Repeat the fourth record exactly.
Compound: Ac4PrGa4
Source: Alexandria via LeMat-Bulk
Functional: PBE-GGA
Structure: optimized geometry

Cell lengths 6.629, 9.576, 9.576 Å; angles 90.00, 90.00, 90.00 degrees
Sites, in units of the cell vectors:
Pr 0.000 0.000 0.000
Pr 0.500 0.500 0.500
Ac 0.132 0.197 0.582
Ac 0.868 0.582 0.803
Ac 0.368 0.303 0.918
Ac 0.132 0.803 0.418
Ac 0.868 0.418 0.197
Ac 0.368 0.697 0.082
Ac 0.632 0.918 0.697
Ac 0.632 0.082 0.303
Ga 0.347 0.370 0.243
Ga 0.847 0.743 0.130
Ga 0.153 0.870 0.743
Ga 0.847 0.257 0.870
Ga 0.653 0.757 0.370
Ga 0.347 0.630 0.757
Ga 0.653 0.243 0.630
Ga 0.153 0.130 0.257

Computed properties:
Calculated formation energy ... -333 meV per atom
Uncorrected energy ... -72.6 eV per cell